Record 1
VASP calculation (PBE-GGA) on a relaxed structure of Ba3NaGd3Si6O20.

Summary:
The total magnetic moment is 0.6323 μB per atom. The value obtained for the uncorrected formation energy is -100.86 eV per formula unit. Its density of states at the Fermi level is 0.0 states/eV/f.u.

a = 14.8961 Å, b = 24.1386 Å, c = 5.6086 Å
α = 90.00°, β = 90.00°, γ = 90.00°
Last column: nearest neighbours and their distance in Å.
Space group Ama2 (No. 40)
Inequivalent atoms, fractional coordinates:
Ba1 0.1130 0.2433 0.0000 [8 per cell]  7 O 2.65-2.96
Ba2 0.2500 0.0813 0.9988 [4 per cell]  7 O 2.68-2.89
Na1 0.2500 0.3878 0.9272 [4 per cell]  4 O 2.39-2.46
Gd1 0.0000 0.0000 0.0716 [4 per cell]  6 O 2.29-2.46
Gd2 0.0312 0.1098 0.5718 [8 per cell]  6 O 2.29-2.47
Si1 0.0568 0.3498 0.5317 [8 per cell]  4 O 1.63-1.67
Si2 0.1396 0.9997 0.5091 [8 per cell]  4 O 1.63-1.68
Si3 0.2500 0.1802 0.5281 [4 per cell]  4 O 1.62-1.71
Si4 0.2500 0.3108 0.4743 [4 per cell]  4 O 1.60-1.67
O1 0.0014 0.3288 0.7663 [8 per cell]  1 Si 1.63
O2 0.0310 0.3116 0.2996 [8 per cell]  1 Si 1.64
O3 0.0333 0.4123 0.4420 [8 per cell]  1 Si 1.63
O4 0.0856 0.4445 0.9254 [8 per cell]  1 Si 1.63
O5 0.1091 0.0262 0.7653 [8 per cell]  1 Si 1.64
O6 0.1160 0.0478 0.3078 [8 per cell]  1 Si 1.66
O7 0.1620 0.1546 0.6659 [8 per cell]  1 Si 1.64
O8 0.1652 0.3432 0.6031 [8 per cell]  2 Si 1.65-1.67
O9 0.2500 0.1772 0.2393 [4 per cell]  1 Si 1.62
O10 0.2500 0.2487 0.6060 [4 per cell]  2 Si 1.67-1.71
O11 0.2500 0.3098 0.1894 [4 per cell]  1 Si 1.60
O12 0.2500 0.4855 0.0092 [4 per cell]  2 Si 1.68



Record 2
VASP calculation (PBE-GGA) on a relaxed structure of Dy2Pd7Au3.

Summary:
The total magnetic moment is 0.0000 μB per atom. Its density of states at the Fermi level is 5.8 states/eV/f.u. For the formation energy, the calculation gives -0.50 eV/atom.

a = 4.5328 Å, b = 5.1487 Å, c = 10.7166 Å
α = 102.16°, β = 92.16°, γ = 113.11°
Last column: nearest neighbours and their distance in Å.
Space group P-1 (No. 2)
Inequivalent atoms, fractional coordinates:
Dy1 0.2194 0.4387 0.2648 [2 per cell]  8 Pd 2.85-3.11, 2 Au 3.01-3.18
Pd1 0.0000 0.0000 0.0000 [1 per cell]  6 Pd 2.64-2.82, 2 Au 2.68
Pd2 0.0796 0.1826 0.7686 [2 per cell]  4 Pd 2.77-2.92, 3 Au 2.82-2.92, 3 Dy 2.85-3.09
Pd3 0.1703 0.3109 0.5304 [2 per cell]  4 Pd 2.77-3.07, 4 Au 2.79-3.02, 1 Dy 3.05
Pd4 0.4640 0.9387 0.8671 [2 per cell]  5 Pd 2.64-2.92, 2 Au 2.69-2.88
Au1 0.4436 0.9171 0.6137 [2 per cell]  6 Pd 2.69-2.92, 1 Au 2.75, 1 Dy 3.01
Au2 0.5000 0.5000 0.0000 [1 per cell]  8 Pd 2.68-2.96



Record 3
VASP calculation (PBE-GGA) on a relaxed structure of PaTaTi.

Summary:
The total magnetic moment is 0.0000 μB per atom. The offset from the most stable computed form is 0 meV per atom. Its density of states at the Fermi level is 3.8 states/eV/f.u. For the formation energy, the calculation gives 0.11 eV/atom.

a = 4.7155 Å, b = 4.7155 Å, c = 3.0791 Å
α = 90.00°, β = 90.00°, γ = 120.00°
Last column: nearest neighbours and their distance in Å.
Space group P3m1 (No. 156)
Inequivalent atoms, fractional coordinates:
Pa1 0.0000 0.0000 0.0000 [1 per cell]  3 Ta 2.88, 3 Ti 2.95, 2 Pa 3.08
Ta1 0.6667 0.3333 0.6926 [1 per cell]  3 Pa 2.88, 3 Ti 2.90, 2 Ta 3.08
Ti1 0.3333 0.6667 0.3659 [1 per cell]  3 Ta 2.90, 3 Pa 2.95, 2 Ti 3.08



Record 4
VASP calculation (PBE-GGA) on a relaxed structure of Y17Er2.

Summary:
The total magnetic moment is 0.0002 μB per atom. Its density of states at the Fermi level is 35.9 states/eV/f.u. For the formation energy, the calculation gives 0.30 eV/atom.

a = 11.1840 Å, b = 11.1840 Å, c = 17.7989 Å
α = 90.00°, β = 90.00°, γ = 120.00°
Last column: nearest neighbours and their distance in Å.
Space group R-3m (No. 166, hexagonal axes)
Inequivalent atoms, fractional coordinates:
Y1 0.0000 0.0000 0.0969 [6 per cell]  13 Y 3.45-3.82
Y2 0.0000 0.3000 0.0000 [18 per cell]  6 Y 3.29-3.42
Y3 0.0000 0.5000 0.5000 [9 per cell]  10 Y 3.35-3.46
Y4 0.0145 0.5073 0.1354 [18 per cell]  6 Y 3.28-3.35
Er1 0.0000 0.0000 0.3191 [6 per cell]  16 Y 3.94-4.22



- total magnetic moment of number 1 (Ba3NaGd3Si6O20)?
  0.6323 μB per atom



What did the fourth record say?
VASP calculation (PBE-GGA) on a relaxed structure of Y17Er2.

Summary:
The total magnetic moment is 0.0002 μB per atom. Its density of states at the Fermi level is 35.9 states/eV/f.u. For the formation energy, the calculation gives 0.30 eV/atom.

a = 11.1840 Å, b = 11.1840 Å, c = 17.7989 Å
α = 90.00°, β = 90.00°, γ = 120.00°
Last column: nearest neighbours and their distance in Å.
Space group R-3m (No. 166, hexagonal axes)
Inequivalent atoms, fractional coordinates:
Y1 0.0000 0.0000 0.0969 [6 per cell]  13 Y 3.45-3.82
Y2 0.0000 0.3000 0.0000 [18 per cell]  6 Y 3.29-3.42
Y3 0.0000 0.5000 0.5000 [9 per cell]  10 Y 3.35-3.46
Y4 0.0145 0.5073 0.1354 [18 per cell]  6 Y 3.28-3.35
Er1 0.0000 0.0000 0.3191 [6 per cell]  16 Y 3.94-4.22